# 1
# Ac2LaOs2N6

Ac2LaOs2N6 after structural relaxation (GGA-PBE, Alexandria).

Cell lengths 7.2183, 7.2183, 7.2183 Å; angles 48.31, 48.31, 48.31 degrees
Positions (direct):
Ac  0.2115  0.2115  0.2115
Ac  0.7885  0.7885  0.7885
La  0.0000  0.0000  0.0000
Os  0.4031  0.4031  0.4031
Os  0.5969  0.5969  0.5969
N  0.2309  0.7373  0.7373
N  0.2627  0.2627  0.7691
N  0.2627  0.7691  0.2627
N  0.7373  0.2309  0.7373
N  0.7373  0.7373  0.2308
N  0.7691  0.2627  0.2627

Output
The total magnetic moment is 0.0 Bohr magnetons per cell. As for the space group: R-3m (166). The energy relative to the elements, uncorrected is -12.17 kcal/mol of atoms.

---

# 2
# Ac2LaP2N6

Ac2LaP2N6 after structural relaxation (GGA-PBE, Alexandria).

Cell lengths 5.8031, 5.8031, 7.0926 Å; angles 115.83, 115.83, 58.27 degrees
Positions (direct):
Ac  0.2041  0.2041  0.1841
Ac  0.7959  0.7959  0.8159
La  0.0000  0.0000  0.5000
P  0.4571  0.4571  0.7435
P  0.5429  0.5429  0.2565
N  0.2066  0.6932  0.1754
N  0.2765  0.2765  0.6399
N  0.3068  0.7934  0.8246
N  0.6932  0.2066  0.1754
N  0.7235  0.7235  0.3601
N  0.7934  0.3068  0.8246

Output
The total magnetic moment is 0.0 Bohr magnetons per cell. As for the space group: C2/m (12). The energy relative to the elements, uncorrected is -23.97 kcal/mol of atoms.

---

# 3
# Ac3LaP2N6

Ac3LaP2N6 after structural relaxation (GGA-PBE, Alexandria).

Cell lengths 5.9724, 5.9724, 6.8054 Å; angles 90.00, 90.00, 120.00 degrees
Positions (direct):
Ac  0.0000  0.0000  0.0000
Ac  0.3333  0.6667  0.6554
Ac  0.6667  0.3333  0.3446
La  0.0000  0.0000  0.5000
P  0.3333  0.6667  0.1769
P  0.6667  0.3333  0.8231
N  0.1852  0.3703  0.2831
N  0.1852  0.8148  0.2831
N  0.3703  0.1852  0.7169
N  0.6297  0.8148  0.2831
N  0.8148  0.1852  0.7169
N  0.8148  0.6297  0.7169

Output
The total magnetic moment is 0.0 Bohr magnetons per cell. As for the space group: P-3m1 (164). The energy relative to the elements, uncorrected is -25.25 kcal/mol of atoms.

---

# 4
# AcLaPN

AcLaPN after structural relaxation (GGA-PBE, Alexandria).

Cell lengths 4.3034, 4.3034, 13.6057 Å; angles 90.00, 90.00, 120.00 degrees
Positions (direct):
Ac  0.3333  0.6667  0.0000
Ac  0.6667  0.3333  0.5000
La  0.0000  0.0000  0.2381
La  0.0000  0.0000  0.7381
P  0.3333  0.6667  0.3436
P  0.6667  0.3333  0.8436
N  0.0000  0.0000  0.0715
N  0.0000  0.0000  0.5715

Output
The total magnetic moment is 0.0 Bohr magnetons per cell. As for the space group: P6_3mc (186). The energy relative to the elements, uncorrected is -29.19 kcal/mol of atoms.

---

# 5
# Ac2La4P3N2

Ac2La4P3N2 after structural relaxation (GGA-PBE, Alexandria).

Cell lengths 13.0927, 13.0927, 13.0927 Å; angles 159.06, 159.06, 29.79 degrees
Positions (direct):
Ac  0.1977  0.1977  0.0000
Ac  0.8023  0.8023  0.0000
La  0.0771  0.5771  0.5000
La  0.4229  0.9229  0.5000
La  0.5771  0.0771  0.5000
La  0.9229  0.4229  0.5000
P  0.3269  0.3269  0.0000
P  0.5000  0.5000  0.0000
P  0.6731  0.6731  0.0000
N  0.1026  0.1026  0.0000
N  0.8974  0.8974  0.0000

Output
The total magnetic moment is 0.0 Bohr magnetons per cell. As for the space group: I4/mmm (139). The energy relative to the elements, uncorrected is -28.49 kcal/mol of atoms.

---

# 6
# AcLa3Pa2N6

AcLa3Pa2N6 after structural relaxation (GGA-PBE, Alexandria).

Cell lengths 8.2787, 8.2787, 7.3841 Å; angles 102.79, 102.79, 25.54 degrees
Positions (direct):
Ac  0.0000  0.0000  0.0000
La  0.0000  0.0000  0.5000
La  0.3301  0.3301  0.1614
La  0.6699  0.6699  0.8386
Pa  0.3307  0.3307  0.6655
Pa  0.6693  0.6693  0.3345
N  0.1704  0.1704  0.1246
N  0.1769  0.1769  0.5558
N  0.4736  0.4736  0.7250
N  0.5264  0.5264  0.2750
N  0.8231  0.8231  0.4442
N  0.8296  0.8296  0.8754

Output
The total magnetic moment is 0.0 Bohr magnetons per cell. As for the space group: C2/m (12). The energy relative to the elements, uncorrected is -33.39 kcal/mol of atoms.

---

# 7
# Ac4La3PaN8

Ac4La3PaN8 after structural relaxation (GGA-PBE, Alexandria).

Cell lengths 7.5928, 7.5928, 7.5928 Å; angles 59.68, 59.68, 59.68 degrees
Positions (direct):
Ac  0.0000  0.0000  0.0000
Ac  0.0000  0.5000  0.5000
Ac  0.5000  0.0000  0.5000
Ac  0.5000  0.5000  0.0000
La  0.0000  0.0000  0.5000
La  0.0000  0.5000  0.0000
La  0.5000  0.0000  0.0000
Pa  0.5000  0.5000  0.5000
N  0.2459  0.2459  0.2459
N  0.2688  0.7251  0.7251
N  0.2749  0.2749  0.7312
N  0.2749  0.7312  0.2749
N  0.7251  0.2688  0.7251
N  0.7251  0.7251  0.2688
N  0.7312  0.2749  0.2749
N  0.7541  0.7541  0.7541

Output
The total magnetic moment is 0.0 Bohr magnetons per cell. As for the space group: R-3m (166). The energy relative to the elements, uncorrected is -28.96 kcal/mol of atoms.

---

# 8
# Ac3LaPa2N6

Ac3LaPa2N6 after structural relaxation (GGA-PBE, Alexandria).

Cell lengths 8.3859, 8.3859, 7.5195 Å; angles 104.39, 104.39, 25.42 degrees
Positions (direct):
Ac  0.0000  0.0000  0.0000
Ac  0.3324  0.3324  0.6640
Ac  0.6676  0.6676  0.3360
La  0.0000  0.0000  0.5000
Pa  0.3321  0.3321  0.1683
Pa  0.6679  0.6679  0.8317
N  0.1647  0.1647  0.6279
N  0.1793  0.1793  0.0478
N  0.4746  0.4746  0.2442
N  0.5254  0.5254  0.7558
N  0.8207  0.8207  0.9522
N  0.8353  0.8353  0.3721

Output
The total magnetic moment is 0.0 Bohr magnetons per cell. As for the space group: C2/m (12). The energy relative to the elements, uncorrected is -31.66 kcal/mol of atoms.

---

# 9
# Ac4La2Pb3N2

Ac4La2Pb3N2 after structural relaxation (GGA-PBE, Alexandria).

Cell lengths 14.0362, 14.0362, 14.0362 Å; angles 158.64, 158.64, 30.38 degrees
Positions (direct):
Ac  0.0872  0.5872  0.5000
Ac  0.4128  0.9128  0.5000
Ac  0.5872  0.0872  0.5000
Ac  0.9128  0.4128  0.5000
La  0.1948  0.1948  0.0000
La  0.8052  0.8052  0.0000
Pb  0.3218  0.3218  0.0000
Pb  0.5000  0.5000  0.0000
Pb  0.6782  0.6782  0.0000
N  0.1099  0.1099  0.0000
N  0.8901  0.8901  0.0000

Output
The total magnetic moment is 0.0 Bohr magnetons per cell. As for the space group: I4/mmm (139). The energy relative to the elements, uncorrected is -18.12 kcal/mol of atoms.

---

# 10
# AcLa12Pb4N3

AcLa12Pb4N3 after structural relaxation (GGA-PBE, Alexandria).

Cell lengths 9.1523, 9.1523, 9.1523 Å; angles 109.47, 109.47, 109.47 degrees
Positions (direct):
Ac  0.0000  0.0000  0.0000
La  0.0000  0.2803  0.2803
La  0.0000  0.7197  0.7197
La  0.2500  0.5000  0.7500
La  0.2500  0.7500  0.5000
La  0.2803  0.0000  0.2803
La  0.2803  0.2803  0.0000
La  0.5000  0.2500  0.7500
La  0.5000  0.7500  0.2500
La  0.7197  0.0000  0.7197
La  0.7197  0.7197  0.0000
La  0.7500  0.2500  0.5000
La  0.7500  0.5000  0.2500
Pb  0.0000  0.0000  0.5000
Pb  0.0000  0.5000  0.0000
Pb  0.5000  0.0000  0.0000
Pb  0.5000  0.5000  0.5000
N  0.0000  0.5000  0.5000
N  0.5000  0.0000  0.5000
N  0.5000  0.5000  0.0000

Output
The total magnetic moment is 0.0 Bohr magnetons per cell. As for the space group: Im-3m (229). The energy relative to the elements, uncorrected is -12.18 kcal/mol of atoms.

---

# 11
# AcLa2PbN

AcLa2PbN after structural relaxation (GGA-PBE, Alexandria).

Cell lengths 5.1569, 5.1569, 5.3226 Å; angles 90.00, 90.00, 90.00 degrees
Positions (direct):
Ac  0.0000  0.0000  0.0000
La  0.0000  0.5000  0.5000
La  0.5000  0.0000  0.5000
Pb  0.5000  0.5000  0.0000
N  0.0000  0.0000  0.5000

Output
The total magnetic moment is 0.0 Bohr magnetons per cell. As for the space group: P4/mmm (123). The energy relative to the elements, uncorrected is -19.87 kcal/mol of atoms.

---

# 12
# Ac2LaPbN

Ac2LaPbN after structural relaxation (GGA-PBE, Alexandria).

Cell lengths 5.3500, 5.3500, 5.1606 Å; angles 90.00, 90.00, 90.00 degrees
Positions (direct):
Ac  0.0000  0.5000  0.0000
Ac  0.5000  0.0000  0.0000
La  0.0000  0.0000  0.5000
Pb  0.5000  0.5000  0.5000
N  0.0000  0.0000  0.0000

Output
The total magnetic moment is 0.0 Bohr magnetons per cell. As for the space group: P4/mmm (123). The energy relative to the elements, uncorrected is -18.20 kcal/mol of atoms.